Record 1
The following is a PBE calculation of a geometry-optimized UReSi structure, from the Alexandria database.

```
UReSi
1.0
-2.505 2.763 3.656
2.505 -2.763 3.656
2.505 2.763 -3.656
U Re Si
2 2 2
Direct
0.394 0.144 0.250
0.606 0.856 0.750
0.000 0.500 0.500
0.500 0.500 0.000
0.000 0.000 0.500
0.000 0.500 0.000
```

## Properties
**DFT total energy**: -10.03 eV per atom

Record 2
The following is a PBE calculation of a geometry-optimized UReSi2 structure, from the Alexandria database.

```
UReSi2
1.0
3.068 0.000 0.000
0.000 3.068 0.000
0.000 0.000 6.949
U Re Si
1 1 2
Direct
0.000 0.000 0.000
0.000 0.000 0.500
0.500 0.500 0.304
0.500 0.500 0.696
```

## Properties
**DFT total energy**: -8.79 eV per atom

Record 3
The following is a PBE calculation of a geometry-optimized U2ReSi structure, from the Alexandria database.

```
U2ReSi
1.0
3.635 0.000 0.000
0.000 3.635 0.000
0.000 0.000 5.720
U Re Si
2 1 1
Direct
0.000 0.000 0.221
0.000 0.000 0.779
0.500 0.500 0.500
0.500 0.500 0.000
```

## Properties
**DFT total energy**: -10.25 eV per atom
**Energy above the lowest structure with this stoichiometry**: 4.7 kJ per mole of atoms

Record 4
The following is a PBE calculation of a geometry-optimized UReSi2 structure, from the Alexandria database.

```
UReSi2
1.0
1.429 0.825 8.993
-1.429 0.825 8.993
0.000 -1.650 8.993
U Re Si
1 1 2
Direct
0.000 0.000 0.000
0.500 0.500 0.500
0.240 0.240 0.240
0.760 0.760 0.760
```

## Properties
**DFT total energy**: -8.63 eV per atom

Record 5
The following is a PBE calculation of a geometry-optimized URe3Si3 structure, from the Alexandria database.

```
URe3Si3
1.0
6.598 0.000 0.000
0.000 6.598 0.000
0.000 0.000 6.598
U Re Si
2 6 6
Direct
0.000 0.000 0.000
0.500 0.500 0.500
0.000 0.250 0.500
0.000 0.750 0.500
0.250 0.500 0.000
0.500 0.000 0.250
0.500 0.000 0.750
0.750 0.500 0.000
0.000 0.500 0.250
0.000 0.500 0.750
0.250 0.000 0.500
0.500 0.250 0.000
0.500 0.750 0.000
0.750 0.000 0.500
```

## Properties
**DFT total energy**: -8.60 eV per atom

Record 6
The following is a PBE calculation of a geometry-optimized U2ReSi structure, from the Alexandria database.

```
U2ReSi
1.0
4.055 0.000 0.000
0.000 4.055 0.000
0.000 0.000 4.293
U Re Si
2 1 1
Direct
0.000 0.500 0.000
0.500 0.000 0.000
0.000 0.000 0.500
0.500 0.500 0.500
```

## Properties
**DFT total energy**: -10.30 eV per atom
**Energy above the lowest structure with this stoichiometry**: 0.0 kJ per mole of atoms

Record 7
The following is a PBE calculation of a geometry-optimized U2ReSi3 structure, from the Alexandria database.

```
U2ReSi3
1.0
5.372 0.000 0.000
-2.686 4.653 0.000
0.000 0.000 8.068
U Re Si
4 2 6
Direct
0.333 0.667 0.094
0.333 0.667 0.406
0.667 0.333 0.594
0.667 0.333 0.906
0.000 0.000 0.000
0.000 0.000 0.500
0.170 0.340 0.750
0.170 0.830 0.750
0.340 0.170 0.250
0.660 0.830 0.750
0.830 0.170 0.250
0.830 0.660 0.250
```

## Properties
**DFT total energy**: -8.95 eV per atom

Record 8
The following is a PBE calculation of a geometry-optimized VRe2Si structure, from the Alexandria database.

```
VRe2Si
1.0
-1.368 2.047 5.616
1.368 -2.047 5.616
1.368 2.047 -5.616
V Re Si
1 2 1
Direct
0.000 0.000 0.000
0.294 0.294 0.000
0.706 0.706 0.000
0.500 0.500 0.000
```

## Properties
**DFT total energy**: -9.51 eV per atom